Computed, not measured: an optimized crystal structure of Tb3PrDyTm at the GGA-PBE level of DFT.

Cell lengths 11.461, 11.461, 6.803 Å; angles 97.87, 97.87, 27.36 degrees
Element x y z (fractional)
Tb 0.024 0.024 0.275
Tb 0.274 0.274 0.187
Tb 0.329 0.329 0.722
Tb 0.671 0.671 0.278
Tb 0.726 0.726 0.813
Tb 0.976 0.976 0.725
Pr 0.130 0.130 0.976
Pr 0.870 0.870 0.024
Dy 0.166 0.166 0.531
Dy 0.834 0.834 0.469
Tm 0.427 0.427 0.348
Tm 0.573 0.573 0.652

Values from the calculation:
total energy	-4.42	eV/atom
symmetry	No. 12
energy of formation from the pure elements	203.8	meV/atom